[1]
Entry from the Alexandria database: a geometry-optimized Ni2HgCl structure (GGA-PBE).

Structure (POSCAR):
```
Ni2HgCl
1.0
4.549 0.000 0.000
0.000 4.549 0.000
0.000 0.000 3.045
Ni Hg Cl
2 1 1
Direct
0.000 0.500 0.000 Ni
0.500 0.000 0.000 Ni
0.000 0.000 0.500 Hg
0.500 0.500 0.500 Cl
```

Properties
excess energy over the best structure of this formula in the dataset	37.8	kJ per mole of atoms
SG	P4/mmm
final energy	-0.2173	Ry/atom

---

[2]
Entry from the Alexandria database: a geometry-optimized ZrFeAg2Pd structure (GGA-PBE).

Structure (POSCAR):
```
ZrFeAg2Pd
1.0
4.806 0.000 0.000
0.000 4.806 0.000
0.000 0.000 4.476
Zr Fe Ag Pd
1 1 2 1
Direct
0.000 0.000 0.000 Zr
0.000 0.000 0.500 Fe
0.000 0.500 0.500 Ag
0.500 0.000 0.500 Ag
0.500 0.500 0.000 Pd
```

Properties
energy of formation	341	kJ/mol of formula units
SG	P4/mmm
final energy	-0.3582	Ry/atom

---

[3]
Entry from the Alexandria database: a geometry-optimized GaPd6Pt2 structure (GGA-PBE).

Structure (POSCAR):
```
GaPd6Pt2
1.0
6.337 -4.676 0.000
6.337 4.676 0.000
-0.710 0.000 4.699
Ga Pd Pt
2 12 4
Direct
0.133 0.867 0.750 Ga
0.867 0.133 0.250 Ga
0.011 0.776 0.177 Pd
0.092 0.348 0.366 Pd
0.224 0.989 0.323 Pd
0.313 0.577 0.475 Pd
0.348 0.092 0.866 Pd
0.423 0.687 0.025 Pd
0.577 0.313 0.975 Pd
0.652 0.908 0.134 Pd
0.687 0.423 0.525 Pd
0.776 0.011 0.677 Pd
0.908 0.652 0.634 Pd
0.989 0.224 0.823 Pd
0.210 0.453 0.921 Pt
0.453 0.210 0.421 Pt
0.547 0.790 0.579 Pt
0.790 0.547 0.079 Pt
```

Properties
excess energy over the best structure of this formula in the dataset	2.3	kJ per mole of atoms
energy of formation	-134	kJ/mol of formula units
SG	C2/c
final energy	-0.3892	Ry/atom

---

[4]
Entry from the Alexandria database: a geometry-optimized Nd7SnI12 structure (GGA-PBE).

Structure (POSCAR):
```
Nd7SnI12
1.0
8.161 4.712 3.581
-8.161 4.712 3.581
0.000 -9.423 3.581
Nd Sn I
7 1 12
Direct
0.000 0.000 0.000 Nd
0.170 0.460 0.389 Nd
0.389 0.170 0.460 Nd
0.460 0.389 0.170 Nd
0.540 0.611 0.830 Nd
0.611 0.830 0.540 Nd
0.830 0.540 0.611 Nd
0.500 0.500 0.500 Sn
0.028 0.107 0.344 I
0.107 0.344 0.028 I
0.191 0.579 0.732 I
0.268 0.809 0.421 I
0.344 0.028 0.107 I
0.421 0.268 0.809 I
0.579 0.732 0.191 I
0.656 0.972 0.893 I
0.732 0.191 0.579 I
0.809 0.421 0.268 I
0.893 0.656 0.972 I
0.972 0.893 0.656 I
```

Properties
SG	R-3
final energy	-0.2988	Ry/atom

---

[5]
Entry from the Alexandria database: a geometry-optimized NaAcCl structure (GGA-PBE).

Structure (POSCAR):
```
NaAcCl
1.0
3.863 0.000 0.000
0.000 5.834 0.000
-0.005 0.000 8.717
Na Ac Cl
2 2 2
Direct
0.249 0.250 0.351 Na
0.751 0.750 0.649 Na
0.250 0.250 0.892 Ac
0.750 0.750 0.108 Ac
0.250 0.750 0.403 Cl
0.750 0.250 0.597 Cl
```

Properties
SG	P2_1/m
final energy	-0.2498	Ry/atom

---

[6]
Entry from the Alexandria database: a geometry-optimized Th3Si3Pd2 structure (GGA-PBE).

Structure (POSCAR):
```
Th3Si3Pd2
1.0
2.166 -5.397 0.000
2.166 5.397 0.000
0.000 0.000 14.614
Th Si Pd
6 6 4
Direct
0.087 0.913 0.614 Th
0.087 0.913 0.886 Th
0.372 0.628 0.750 Th
0.628 0.372 0.250 Th
0.913 0.087 0.114 Th
0.913 0.087 0.386 Th
0.332 0.668 0.250 Si
0.397 0.603 0.541 Si
0.397 0.603 0.959 Si
0.603 0.397 0.041 Si
0.603 0.397 0.459 Si
0.668 0.332 0.750 Si
0.207 0.793 0.091 Pd
0.207 0.793 0.409 Pd
0.793 0.207 0.591 Pd
0.793 0.207 0.909 Pd
```

Properties
SG	Cmcm
final energy	-0.5125	Ry/atom

---

[7]
Entry from the Alexandria database: a geometry-optimized La2PRh structure (GGA-PBE).

Structure (POSCAR):
```
La2PRh
1.0
-1.954 2.116 5.791
1.954 -2.116 5.791
1.954 2.116 -5.791
La P Rh
2 1 1
Direct
0.000 0.000 0.000 La
0.734 0.234 0.500 La
0.425 0.425 0.000 P
0.280 0.780 0.500 Rh
```

Properties
energy of formation	-368	kJ/mol of formula units
SG	Imm2
final energy	-0.4857	Ry/atom

---

[8]
Entry from the Alexandria database: a geometry-optimized Li2MnRh structure (GGA-PBE).

Structure (POSCAR):
```
Li2MnRh
1.0
-3.367 3.367 2.338
3.367 -3.367 2.338
3.367 3.367 -2.338
Li Mn Rh
4 2 2
Direct
0.125 0.625 0.000 Li
0.375 0.375 0.500 Li
0.625 0.125 0.000 Li
0.875 0.875 0.500 Li
0.000 0.000 0.000 Mn
0.750 0.250 0.500 Mn
0.250 0.750 0.500 Rh
0.500 0.500 0.000 Rh
```

Properties
excess energy over the best structure of this formula in the dataset	66.6	kJ per mole of atoms
energy of formation	245	kJ/mol of formula units
SG	I-42d
final energy	-0.3273	Ry/atom